[1]
Material: RuPt2Pb
Method: DFT, meta-GGA SCAN
State: single point on PBEsol structure

Geometry as CIF:
```
data_RuPt2Pb
_space_group_name_H-M_alt 'P m m 2'
_space_group_IT_number 25
_space_group_name_Hall 'P 2 -2'
_cell_length_a 2.923
_cell_length_b 4.506
_cell_length_c 5.064
_cell_angle_alpha 90.00
_cell_angle_beta 90.00
_cell_angle_gamma 90.00
loop_
_atom_site_label
_atom_site_type_symbol
_atom_site_fract_x
_atom_site_fract_y
_atom_site_fract_z
Ru1 Ru 0.000 0.000 0.000
Pt1 Pt 0.500 0.000 0.550
Pt2 Pt 0.500 0.500 0.866
Pb1 Pb 0.000 0.500 0.350
```

Computed properties:
Energy of formation from the pure elements: 324 meV/atom
Uncorrected energy: -4.5881 Ry per atom
Magnetic moment: 0.00 μB/cell

[2]
Material: RuPtPb2
Method: DFT, meta-GGA SCAN
State: single point on PBEsol structure

Geometry as CIF:
```
data_RuPtPb2
_space_group_name_H-M_alt 'I m m 2'
_space_group_IT_number 44
_space_group_name_Hall 'I 2 -2'
_cell_length_a 3.818
_cell_length_b 3.916
_cell_length_c 10.447
_cell_angle_alpha 90.00
_cell_angle_beta 90.00
_cell_angle_gamma 90.00
loop_
_atom_site_label
_atom_site_type_symbol
_atom_site_fract_x
_atom_site_fract_y
_atom_site_fract_z
Ru1 Ru 0.000 0.000 0.000
Pt1 Pt 0.000 0.500 0.247
Pb1 Pb 0.000 0.000 0.448
Pb2 Pb 0.000 0.500 0.692
```

Computed properties:
Energy of formation from the pure elements: 377 meV/atom
Uncorrected energy: -4.6869 Ry per atom
Magnetic moment: 0.00 μB/cell

[3]
Material: SbPt2Pb
Method: DFT, meta-GGA SCAN
State: single point on PBEsol structure

Geometry as CIF:
```
data_SbPt2Pb
_space_group_name_H-M_alt 'P 1 m 1'
_space_group_IT_number 6
_space_group_name_Hall 'P -2y'
_cell_length_a 3.910
_cell_length_b 3.867
_cell_length_c 5.489
_cell_angle_alpha 90.00
_cell_angle_beta 104.27
_cell_angle_gamma 90.00
loop_
_atom_site_label
_atom_site_type_symbol
_atom_site_fract_x
_atom_site_fract_y
_atom_site_fract_z
Sb1 Sb 0.000 0.000 0.000
Pt1 Pt 0.184 0.000 0.529
Pt2 Pt 0.485 0.500 0.891
Pb1 Pb 0.659 0.500 0.414
```

Computed properties:
Uncorrected energy: -4.6770 Ry per atom
ΔE_f (raw): -277 meV per atom
Magnetic moment: 0.00 μB/cell

[4]
Material: ScPt2Pb
Method: DFT, meta-GGA SCAN
State: single point on PBEsol structure

Geometry as CIF:
```
data_ScPt2Pb
_space_group_name_H-M_alt 'I -4 m 2'
_space_group_IT_number 119
_space_group_name_Hall 'I -4 -2'
_cell_length_a 4.122
_cell_length_b 4.122
_cell_length_c 8.430
_cell_angle_alpha 90.00
_cell_angle_beta 90.00
_cell_angle_gamma 90.00
loop_
_atom_site_label
_atom_site_type_symbol
_atom_site_fract_x
_atom_site_fract_y
_atom_site_fract_z
Sc1 Sc 0.000 0.000 0.000
Pt1 Pt 0.000 0.000 0.500
Pt2 Pt 0.000 0.500 0.250
Pb1 Pb 0.000 0.500 0.750
```

Computed properties:
Energy of formation from the pure elements: -695 meV/atom
Uncorrected energy: -4.2847 Ry per atom
Magnetic moment: 0.00 μB/cell

[5]
Material: Sc2PtPb2
Method: DFT, meta-GGA SCAN
State: single point on PBEsol structure

Geometry as CIF:
```
data_Sc2PtPb2
_space_group_name_H-M_alt 'I 4/m m m'
_space_group_IT_number 139
_space_group_name_Hall '-I 4 2'
_cell_length_a 3.977
_cell_length_b 3.977
_cell_length_c 15.414
_cell_angle_alpha 90.00
_cell_angle_beta 90.00
_cell_angle_gamma 90.00
loop_
_atom_site_label
_atom_site_type_symbol
_atom_site_fract_x
_atom_site_fract_y
_atom_site_fract_z
Sc1 Sc 0.000 0.000 0.091
Pt1 Pt 0.000 0.000 0.500
Pb1 Pb 0.000 0.500 0.250
```

Computed properties:
Energy of formation from the pure elements: -82 meV/atom
Uncorrected energy: -3.6844 Ry per atom
Magnetic moment: 0.00 μB/cell

[6]
Material: ScPt2Pb
Method: DFT, meta-GGA SCAN
State: single point on PBEsol structure

Geometry as CIF:
```
data_ScPt2Pb
_space_group_name_H-M_alt 'F m -3 m'
_space_group_IT_number 225
_space_group_name_Hall '-F 4 2 3'
_cell_length_a 6.638
_cell_length_b 6.638
_cell_length_c 6.638
_cell_angle_alpha 90.00
_cell_angle_beta 90.00
_cell_angle_gamma 90.00
loop_
_atom_site_label
_atom_site_type_symbol
_atom_site_fract_x
_atom_site_fract_y
_atom_site_fract_z
Sc1 Sc 0.000 0.000 0.000
Pt1 Pt 0.250 0.250 0.250
Pb1 Pb 0.000 0.000 0.500
```

Computed properties:
Energy of formation from the pure elements: -717 meV/atom
Uncorrected energy: -4.2863 Ry per atom
Magnetic moment: 0.00 μB/cell

Which of these has the lowest uncorrected energy? RuPtPb2